The following is a DFT calculation (PBEsol) of a geometry-optimized DyInCu4 structure.

Unit cell a=5.0274 b=5.0274 c=5.0274 alpha=60.00 beta=60.00 gamma=60.00
Atoms (fractional coordinates):
In  0.5000  0.5000  0.5000
Cu  0.8747  0.8747  0.3760
Cu  0.8747  0.3760  0.8747
Cu  0.3760  0.8747  0.8747
Cu  0.8747  0.8747  0.8747
Dy  0.2500  0.2500  0.2500

Results
Density ... 9.823 g/cm³
Electronic total energy ... -4.52 eV/atom
Total moment ... 0.00 μB per formula unit